(1)
First-principles (PBE-GGA) data for a relaxed structure of GeBiSb2, as listed in Alexandria via LeMat-Bulk.

abc: 7.3012 7.3012 7.4355
angles: 60.60 60.60 90.00
Sites, in units of the cell vectors:
1 Sb 0.5854 0.1250 0.2500
2 Sb 0.1646 0.6250 0.2500
3 Sb 0.3750 0.4146 0.7500
4 Sb 0.8750 0.8354 0.7500
5 Ge 0.5000 0.5000 0.0000
6 Ge 0.2500 0.7500 0.5000
7 Bi 0.0000 0.0000 0.0000
8 Bi 0.7500 0.2500 0.5000

Output
DFT total energy: -3.94 eV per atom

(2)
First-principles (PBE-GGA) data for a relaxed structure of GeBiSb2, as listed in Alexandria via LeMat-Bulk.

abc: 4.2654 4.2654 7.6457
angles: 73.80 73.80 60.00
Sites, in units of the cell vectors:
1 Sb 0.2406 0.2406 0.2783
2 Sb 0.7594 0.7594 0.7217
3 Ge 0.5000 0.5000 0.5000
4 Bi 0.0000 0.0000 0.0000

Output
DFT total energy: -4.08 eV per atom

(3)
First-principles (PBE-GGA) data for a relaxed structure of Ge3BiSb, as listed in Alexandria via LeMat-Bulk.

abc: 5.3473 5.3473 5.3473
angles: 90.00 90.00 90.00
Sites, in units of the cell vectors:
1 Sb 0.0000 0.0000 0.0000
2 Ge 0.0000 0.5000 0.0000
3 Ge 0.0000 0.0000 0.5000
4 Ge 0.5000 0.0000 0.0000
5 Bi 0.5000 0.5000 0.5000

Output
DFT total energy: -3.58 eV per atom

(4)
First-principles (PBE-GGA) data for a relaxed structure of GeBi2Sb, as listed in Alexandria via LeMat-Bulk.

abc: 4.3361 4.3361 7.7512
angles: 73.76 73.76 60.00
Sites, in units of the cell vectors:
1 Sb 0.5000 0.5000 0.5000
2 Ge 0.0000 0.0000 0.0000
3 Bi 0.2564 0.2564 0.2309
4 Bi 0.7436 0.7436 0.7691

Output
DFT total energy: -3.99 eV per atom

(5)
First-principles (PBE-GGA) data for a relaxed structure of GeBi2Sb, as listed in Alexandria via LeMat-Bulk.

abc: 4.2179 4.2179 8.5615
angles: 75.74 75.74 60.00
Sites, in units of the cell vectors:
1 Ge 0.6600 0.6600 0.0200
2 Bi 0.0835 0.0835 0.7494
3 Bi 0.2668 0.2668 0.1995
4 Sb 0.4896 0.4896 0.5312

Output
DFT total energy: -3.97 eV per atom

(6)
First-principles (PBE-GGA) data for a relaxed structure of GeBiSb2, as listed in Alexandria via LeMat-Bulk.

abc: 5.3495 5.3495 5.3495
angles: 60.00 60.00 60.00
Sites, in units of the cell vectors:
1 Sb 0.2500 0.2500 0.2500
2 Sb 0.7500 0.7500 0.7500
3 Ge 0.0000 0.0000 0.0000
4 Bi 0.5000 0.5000 0.5000

Output
DFT total energy: -3.90 eV per atom

M_tot, respectively: 0.000 0.000 0.000 0.000 0.000 0.000 μB per atom.
Energy relative to the elements, uncorrected, respectively: 0.2468 0.1064 0.7872 0.1341 0.1539 0.2878 eV per atom.